K2RbAlF6 | GGA-PBE | relaxed

Structure (extended XYZ):
```
10
Lattice="0.000 4.457 4.457 4.457 0.000 4.457 4.457 4.457 0.000" Properties=species:S:1:pos:R:3 pbc="T T T"
K 2.229 2.229 2.229
K 6.686 6.686 6.686
Rb 0.000 0.000 0.000
Al 4.457 4.457 4.457
F 4.457 4.457 2.623
F 4.457 2.623 4.457
F 6.291 4.457 4.457
F 2.623 4.457 4.457
F 4.457 6.291 4.457
F 4.457 4.457 6.291
```

Results
Formation energy (no corrections) (eV per atom): -3.125
E_tot (eV/atom): -4.939
Space group: Fm-3m (225)
Volume (Å³ per cell): 177.1